No. 1
VASP calculation (PBEsol) on an optimized crystal structure of K2ZrGe2O7.

Cell lengths 5.5545, 5.7146, 12.8942 Å; angles 77.45, 77.56, 60.92 degrees
Closest atoms and distances in Å follow each position.
Atoms (fractional coordinates):
O  0.5712  0.6231  0.1294  1 Ge 1.75
Ge  0.6809  0.6962  0.3785  4 O 1.74-1.80
Zr  0.0000  0.0000  0.5000  6 O 2.07-2.12
Ge  0.2443  0.1962  0.8785  4 O 1.74-1.80
O  0.3236  0.8769  0.3706  1 Ge 1.75
K  0.3572  0.3816  0.3216  6 O 2.67-2.94
Ge  0.7557  0.8038  0.1215  4 O 1.74-1.80
Ge  0.3191  0.3038  0.6215  4 O 1.74-1.80
O  0.7821  0.3492  0.3989  1 Ge 1.75
O  0.5302  0.1508  0.1011  1 Ge 1.75
O  0.1363  0.2500  0.7500  2 Ge 1.80
K  0.0604  0.1184  0.1784  6 O 2.67-2.94
O  0.8086  0.8059  0.4594  1 Ge 1.74
O  0.8637  0.7500  0.2500  2 Ge 1.80
O  0.2179  0.6508  0.6011  1 Ge 1.75
O  0.9261  0.3059  0.9594  1 Ge 1.74
K  0.6428  0.6184  0.6784  6 O 2.67-2.94
K  0.9396  0.8816  0.8216  6 O 2.67-2.94
Zr  0.5000  0.5000  0.0000  6 O 2.07-2.12
O  0.4288  0.3769  0.8706  1 Ge 1.75
O  0.1914  0.1941  0.5406  1 Ge 1.74
O  0.4698  0.8492  0.8989  1 Ge 1.75
O  0.6764  0.1231  0.6294  1 Ge 1.75
O  0.0739  0.6941  0.0406  1 Ge 1.74

Output
- Space group: C2/c (15)
- Calculated density: 4.09 Mg/m³
- Total moment: 0.00 μB per formula unit
- Uncorrected formation energy: -2.25 eV per atom
- Crystal system: monoclinic

No. 2
VASP calculation (PBEsol) on an optimized crystal structure of KGeOs3.

Cell lengths 4.5466, 4.5466, 4.5466 Å; angles 90.00, 90.00, 90.00 degrees
Closest atoms and distances in Å follow each position.
Atoms (fractional coordinates):
K  0.0000  0.0000  0.0000  6 Os 2.27
Os  0.5000  0.0000  0.0000  2 K 2.27
Os  0.0000  0.0000  0.5000  2 K 2.27
Ge  0.5000  0.5000  0.5000  12 Os 3.21
Os  0.0000  0.5000  0.0000  2 K 2.27

Output
- Space group: Pm-3m (221)
- Formation energy from the elements: 3.891 eV/atom
- Calculated density: 12.06 Mg/m³
- Total moment: 1.23 μB per formula unit
- Crystal system: cubic

No. 3
VASP calculation (PBEsol) on an optimized crystal structure of KGeOsW2.

Cell lengths 4.5175, 4.5049, 4.5049 Å; angles 90.00, 90.00, 90.00 degrees
Closest atoms and distances in Å follow each position.
Atoms (fractional coordinates):
W  0.0000  0.0000  0.5000  2 K 2.25
K  0.0000  0.0000  0.0000  4 W 2.25, 2 Os 2.26
Ge  0.5000  0.5000  0.5000  4 Os 3.19, 8 W 3.19
Os  0.5000  0.0000  0.0000  2 K 2.26
W  0.0000  0.5000  0.0000  2 K 2.25

Output
- Space group: P4/mmm (123)
- Formation energy from the elements: 3.750 eV/atom
- Calculated density: 12.13 Mg/m³
- Total moment: 0.00 μB per formula unit
- Crystal system: tetragonal

- Which value of total moment does entry 3 give?
  0.00 μB per formula unit

- Which value of total moment does entry 3 give?
  0.00 μB per formula unit

- The lowest calculated density belongs to which entry?
  K2ZrGe2O7